No. 1
VASP calculation (PBE-GGA) on a relaxed BaCaLa2Rh crystal.

The formation energy comes out at -21 kJ per mole of atoms. As for the spin magnetization: 0.00 μB/atom. The excess energy over the best structure of this formula in the dataset is 0.36 eV/f.u. The value obtained for the density of states at the Fermi level is 0.93 states/eV per atom.

The space group is P4/mmm (No. 123) and the conventional cell measures 5.631, 5.631 and 6.354 Å, with angles of 90.00, 90.00 and 90.00 degrees. Symmetry generates all atoms from Ba at (0.000, 0.000, 0.000), Ca at (0.500, 0.500, 0.000), La at (0.000, 0.500, 0.500) and Rh at (0.000, 0.000, 0.500).



No. 2
VASP calculation (PBE-GGA) on a relaxed ZrSb2F crystal.

The uncorrected formation energy comes out at -0.619 eV per atom. As for the spin magnetization: 0.00 μB/atom. The excess energy over the best structure of this formula in the dataset is 0.00 eV/f.u. The value obtained for the density of states at the Fermi level is 0.91 states/eV per atom.

The space group is I-42d (No. 122) and the conventional cell measures 7.768, 7.768 and 5.621 Å, with angles of 90.00, 90.00 and 90.00 degrees. Symmetry generates all atoms from Zr at (0.000, 0.000, 0.000), Sb at (0.206, 0.250, 0.625) and F at (0.000, 0.000, 0.500).



No. 3
VASP calculation (PBE-GGA) on a relaxed Mn2CdC crystal.

The formation energy comes out at 64 kJ per mole of atoms. As for the spin magnetization: 1.29 μB/atom. The value obtained for the density of states at the Fermi level is 0.53 states/eV per atom.

The space group is I4_1/amd (No. 141, origin choice 2) and the conventional cell measures 5.089, 5.089 and 10.776 Å, with angles of 90.00, 90.00 and 90.00 degrees. Symmetry generates all atoms from Mn at (0.000, 0.000, 0.000), Cd at (0.000, 0.250, 0.375) and C at (0.000, 0.250, 0.875).



No. 4
VASP calculation (PBE-GGA) on a relaxed MnFeHIrPd crystal.

As for the spin magnetization: 0.95 μB/atom. The excess energy over the best structure of this formula in the dataset is 0.63 eV/f.u. The value obtained for the density of states at the Fermi level is 0.99 states/eV per atom.

The space group is Amm2 (No. 38) and the conventional cell measures 4.036, 2.728 and 10.225 Å, with angles of 90.00, 90.00 and 90.00 degrees. Symmetry generates all atoms from Mn at (0.000, 0.000, 0.000), Fe at (0.500, 0.000, 0.867), H at (0.000, 0.000, 0.620), Ir at (0.500, 0.000, 0.592) and Pd at (0.000, 0.000, 0.267).



No. 5
VASP calculation (PBE-GGA) on a relaxed Ba2SrUS6 crystal.

The uncorrected formation energy comes out at -1.778 eV per atom. As for the spin magnetization: 0.00 μB/atom.

The space group is P2_1/c (No. 14) and the conventional cell measures 7.283, 7.703 and 12.768 Å, with angles of 90.00, 124.72 and 90.00 degrees. Symmetry generates all atoms from Ba at (0.226, 0.070, 0.248), Sr at (0.000, 0.000, 0.500), U at (0.500, 0.000, 0.000), S at (0.167, 0.182, 0.951), S at (0.265, 0.721, 0.942) and S at (0.370, 0.033, 0.768).



No. 6
VASP calculation (PBE-GGA) on a relaxed Si2RhPbBr crystal.

The uncorrected formation energy comes out at 1.358 eV per atom. As for the spin magnetization: 0.26 μB/atom. The value obtained for the density of states at the Fermi level is 1.17 states/eV per atom.

The space group is P4/mmm (No. 123) and the conventional cell measures 5.329, 5.329 and 5.199 Å, with angles of 90.00, 90.00 and 90.00 degrees. Symmetry generates all atoms from Si at (0.000, 0.500, 0.000), Rh at (0.000, 0.000, 0.500), Pb at (0.000, 0.000, 0.000) and Br at (0.500, 0.500, 0.500).



No. 7
VASP calculation (PBE-GGA) on a relaxed KPm2SeO5 crystal.

The uncorrected formation energy comes out at -2.075 eV per atom. As for the spin magnetization: 0.10 μB/atom. The value obtained for the density of states at the Fermi level is 0.25 states/eV per atom.

The space group is I4/mcm (No. 140) and the conventional cell measures 6.813, 6.813 and 12.205 Å, with angles of 90.00, 90.00 and 90.00 degrees. Symmetry generates all atoms from K at (0.000, 0.000, 0.250), Pm at (0.176, 0.324, 0.000), Se at (0.000, 0.500, 0.250), O at (0.000, 0.000, 0.000) and O at (0.134, 0.366, 0.382).



No. 8
VASP calculation (PBE-GGA) on a relaxed KAs2HPb crystal.

As for the spin magnetization: 0.00 μB/atom. The value obtained for the density of states at the Fermi level is 0.64 states/eV per atom.

The space group is P4/mmm (No. 123) and the conventional cell measures 5.786, 5.786 and 3.840 Å, with angles of 90.00, 90.00 and 90.00 degrees. Symmetry generates all atoms from K at (0.000, 0.000, 0.000), As at (0.000, 0.500, 0.500), H at (0.500, 0.500, 0.000) and Pb at (0.500, 0.500, 0.500).



No. 9
VASP calculation (PBE-GGA) on a relaxed CaBiAu crystal.

The formation energy comes out at -57 kJ per mole of atoms. As for the spin magnetization: 0.00 μB/atom. The value obtained for the density of states at the Fermi level is 0.40 states/eV per atom.

The space group is P1 (No. 1) and the conventional cell measures 4.809, 6.288 and 6.387 Å, with angles of 81.39, 67.95 and 67.55 degrees. Symmetry generates all atoms from Ca at (0.000, 0.000, 0.000), Ca at (0.039, 0.434, 0.487), Bi at (0.666, 0.586, 0.083), Bi at (0.700, 0.042, 0.558), Au at (0.346, 0.776, 0.532) and Au at (0.354, 0.397, 0.894).



No. 10
VASP calculation (PBE-GGA) on a relaxed CuAsO3 crystal.

The uncorrected formation energy comes out at -0.856 eV per atom. As for the spin magnetization: 0.00 μB/atom. The value obtained for the density of states at the Fermi level is 0.15 states/eV per atom.

The space group is Pmma (No. 51) and the conventional cell measures 8.798, 3.234 and 4.954 Å, with angles of 90.00, 90.00 and 90.00 degrees. Symmetry generates all atoms from Cu at (0.000, 0.000, 0.000), As at (0.250, 0.500, 0.400), O at (0.089, 0.500, 0.189) and O at (0.250, 0.000, 0.579).



No. 11
VASP calculation (PBE-GGA) on a relaxed BaFe2P2 crystal.

The formation energy comes out at -79 kJ per mole of atoms. As for the spin magnetization: 0.00 μB/atom. The value obtained for the density of states at the Fermi level is 0.53 states/eV per atom.

The space group is I4/mmm (No. 139) and the conventional cell measures 3.826, 3.826 and 12.327 Å, with angles of 90.00, 90.00 and 90.00 degrees. Symmetry generates all atoms from Ba at (0.000, 0.000, 0.000), Fe at (0.000, 0.500, 0.250) and P at (0.000, 0.000, 0.339).



No. 12
VASP calculation (PBE-GGA) on a relaxed LiThTlIn crystal.

The formation energy comes out at -14 kJ per mole of atoms. As for the spin magnetization: 0.00 μB/atom. The excess energy over the best structure of this formula in the dataset is 0.11 eV/f.u. The value obtained for the density of states at the Fermi level is 0.80 states/eV per atom.

The space group is F-43m (No. 216) and the conventional cell measures 7.488, 7.488 and 7.488 Å, with angles of 90.00, 90.00 and 90.00 degrees. Symmetry generates all atoms from Li at (0.000, 0.000, 0.000), Th at (0.000, 0.000, 0.500), Tl at (0.250, 0.250, 0.250) and In at (0.250, 0.250, 0.750).



No. 13
VASP calculation (PBE-GGA) on a relaxed BaEr4In3O12 crystal.

The uncorrected formation energy comes out at -2.544 eV per atom. As for the spin magnetization: 0.05 μB/atom. The value obtained for the density of states at the Fermi level is 0.82 states/eV per atom.

The space group is Im-3 (No. 204) and the conventional cell measures 8.369, 8.369 and 8.369 Å, with angles of 90.00, 90.00 and 90.00 degrees. Symmetry generates all atoms from Ba at (0.000, 0.000, 0.000), Er at (0.250, 0.250, 0.250), In at (0.000, 0.000, 0.500) and O at (0.000, 0.172, 0.313).



No. 14
VASP calculation (PBE-GGA) on a relaxed SmHoLuAl crystal.

The formation energy comes out at -8 kJ per mole of atoms. As for the spin magnetization: 0.00 μB/atom. The value obtained for the density of states at the Fermi level is 1.44 states/eV per atom.

The space group is F-43m (No. 216) and the conventional cell measures 7.547, 7.547 and 7.547 Å, with angles of 90.00, 90.00 and 90.00 degrees. Symmetry generates all atoms from Sm at (0.000, 0.000, 0.000), Ho at (0.000, 0.000, 0.500), Lu at (0.250, 0.250, 0.750) and Al at (0.250, 0.250, 0.250).



No. 15
VASP calculation (PBE-GGA) on a relaxed Hf3Zr3Al2 crystal.

The formation energy comes out at -19 kJ per mole of atoms. As for the spin magnetization: 0.00 μB/atom. The value obtained for the density of states at the Fermi level is 0.92 states/eV per atom.

The space group is R32 (No. 155, hexagonal axes) and the conventional cell measures 7.8030, 7.8030 and 9.5547 Å, with angles of 90.00, 90.00 and 120.00 degrees. Symmetry generates all atoms from Hf at (0.0000, 0.7506, 0.0000), Zr at (0.0000, 0.2507, 0.5000) and Al at (0.0000, 0.0000, 0.2492).



No. 16
VASP calculation (PBE-GGA) on a relaxed La3Pt2O crystal.

The uncorrected formation energy comes out at -1.640 eV per atom. As for the spin magnetization: 0.00 μB/atom. The value obtained for the density of states at the Fermi level is 0.63 states/eV per atom.

The space group is C2/c (No. 15) and the conventional cell measures 13.496, 6.013 and 8.228 Å, with angles of 90.00, 113.84 and 90.00 degrees. Symmetry generates all atoms from La at (0.000, 0.043, 0.250), La at (0.155, 0.487, 0.018), Pt at (0.170, 0.016, 0.609) and O at (0.000, 0.435, 0.250).



No. 17
VASP calculation (PBE-GGA) on a relaxed Ho7Zn2Te2 crystal.

The uncorrected formation energy comes out at -0.264 eV per atom. As for the spin magnetization: 0.00 μB/atom. The excess energy over the best structure of this formula in the dataset is 3.65 eV/f.u. The value obtained for the density of states at the Fermi level is 1.12 states/eV per atom.

The space group is Cmmm (No. 65) and the conventional cell measures 7.827, 10.629 and 7.640 Å, with angles of 90.00, 90.00 and 90.00 degrees. Symmetry generates all atoms from Ho at (0.000, 0.000, 0.000), Ho at (0.000, 0.500, 0.280), Ho at (0.250, 0.250, 0.290), Zn at (0.167, 0.000, 0.500) and Te at (0.000, 0.287, 0.000).



No. 18
VASP calculation (PBE-GGA) on a relaxed VMoW crystal.

The formation energy comes out at -10 kJ per mole of atoms. As for the spin magnetization: 0.00 μB/atom. The excess energy over the best structure of this formula in the dataset is 0.05 eV/f.u. The value obtained for the density of states at the Fermi level is 0.58 states/eV per atom.

The space group is P3m1 (No. 156) and the conventional cell measures 4.3880, 4.3880 and 2.7272 Å, with angles of 90.00, 90.00 and 120.00 degrees. Symmetry generates all atoms from V at (0.0000, 0.0000, 0.0000), Mo at (0.6667, 0.3333, 0.3258) and W at (0.3333, 0.6667, 0.6556).



No. 19
VASP calculation (PBE-GGA) on a relaxed CdSbRh2 crystal.

The uncorrected formation energy comes out at 0.442 eV per atom. As for the spin magnetization: 0.00 μB/atom. The value obtained for the density of states at the Fermi level is 0.93 states/eV per atom.

The space group is Immm (No. 71) and the conventional cell measures 2.962, 5.010 and 10.550 Å, with angles of 90.00, 90.00 and 90.00 degrees. Symmetry generates all atoms from Cd at (0.000, 0.000, 0.000), Sb at (0.000, 0.000, 0.500) and Rh at (0.000, 0.000, 0.260).



No. 20
VASP calculation (PBE-GGA) on a relaxed Rb6Au3F crystal.

The uncorrected formation energy comes out at -0.657 eV per atom. As for the spin magnetization: 0.00 μB/atom. The excess energy over the best structure of this formula in the dataset is 0.17 eV/f.u. The value obtained for the density of states at the Fermi level is 0.53 states/eV per atom.

The space group is R-3 (No. 148, hexagonal axes) and the conventional cell measures 14.4999, 14.4999 and 14.7258 Å, with angles of 90.00, 90.00 and 120.00 degrees. Symmetry generates all atoms from Rb at (0.0304, 0.8376, 0.4022), Rb at (0.0516, 0.8646, 0.8849), Au at (0.0475, 0.6157, 0.3222), F at (0.0000, 0.0000, 0.0000) and F at (0.0000, 0.0000, 0.5000).



Sequential DFT total energy output: -4.444, -5.285, -6.457, -6.912, -5.936, -3.357, -6.395, -3.139, -3.648, -5.580, -6.748, -3.759, -6.938, -4.468, -8.071, -6.944, -3.980, -11.072, -4.493, -2.408 eV/atom